Below is BaAc4Ni2 after structural relaxation, with properties calculated at the PBE level.

Calculated values
DFT formation energy	-0.084	eV per atom
crystal system	monoclinic
size of the total moment	0.000	μB per atom

a b c (Å): 20.290 4.077 6.683
angles (deg): 90.00 102.00 90.00
Element x y z (fractional)
Ba: 0.000 0.000 0.000
Ba: 0.500 0.500 0.000
Ac: 0.128 0.000 0.580
Ac: 0.187 0.500 0.128
Ac: 0.313 0.000 0.872
Ac: 0.372 0.500 0.420
Ac: 0.628 0.500 0.580
Ac: 0.687 0.000 0.128
Ac: 0.813 0.500 0.872
Ac: 0.872 0.000 0.420
Ni: 0.236 0.500 0.598
Ni: 0.264 0.000 0.402
Ni: 0.736 0.000 0.598
Ni: 0.764 0.500 0.402